The following is a DFT calculation (GGA+U) of crystalline Rb2AsWF6 at its relaxed geometry.

Unit cell a=6.0347 b=6.0347 c=7.1495 alpha=65.04 beta=65.04 gamma=90.00
Last column: magnetic moment on the atom in μB.
Atoms (fractional coordinates):
F1 0.2475 0.2475 0.0000  0.02
F2 0.7525 0.7525 0.0000  0.02
F3 0.8167 0.8167 0.3666  0.03
F4 0.1833 0.1833 0.6334  0.03
F5 0.7525 0.2475 0.0000  0.02
F6 0.2475 0.7525 0.0000  0.02
Rb1 0.2500 0.7500 0.5000  0.00
Rb2 0.7500 0.2500 0.5000  0.00
W1 0.0000 0.0000 0.0000  2.80
As1 0.5000 0.5000 0.0000  0.00

## Properties
**Calculated volume**: 20.9 A^3/atom
**Uncorrected energy**: -4.715 eV per atom
**Total magnetic moment**: 3.00 μB/cell
**Space-group type**: No. 139